A plane-wave DFT calculation with PBE with a Hubbard U was carried out for a relaxed structure of RbV2AsO8.

Results
Energy (eV per atom): -6.70
Crystal system: trigonal

Structure (CIF):
```
data_RbV2AsO8
_chemical_formula_sum 'Rb1 V2 As1 O8'
_symmetry_space_group_name_H-M 'P -3'
_symmetry_Int_Tables_number 147
_cell_length_a 5.2235
_cell_length_b 5.2235
_cell_length_c 8.1964
_cell_angle_alpha 90.00
_cell_angle_beta 90.00
_cell_angle_gamma 120.00
loop_
_symmetry_equiv_pos_as_xyz
'x,y,z'
'-x,-y,-z'
'-y,x-y,z'
'y,-x+y,-z'
'-x+y,-x,z'
'x-y,x,-z'
loop_
_atom_site_label
_atom_site_type_symbol
_atom_site_fract_x
_atom_site_fract_y
_atom_site_fract_z
_atom_site_occupancy
Rb1 Rb 0.0000 0.0000 0.0000 1
V1 V 0.3333 0.6667 0.6950 1
As1 As 0.0000 0.0000 0.5000 1
O1 O 0.0528 0.3073 0.6335 1
O2 O 0.3333 0.6667 0.8963 1
```